1.
This record from Alexandria describes an optimized crystal structure of CoMoCl2. The functional is PBEsol.

```
CoMoCl2
1.0
-0.833 1.228 -2.598
0.225 -3.812 -1.874
-4.080 -0.717 0.969
Mo Co Cl
1 1 2
direct
0.500 0.000 0.000
0.500 0.500 0.500
0.000 0.000 0.500
0.000 0.500 0.000
```

Summary:
**Crystal system**: tetragonal
**E_tot**: -5.2140 eV/atom
**Distance to the lowest polymorph of the same formula**: 482 meV/atom
**N(E_F)**: 4.8 states/eV/cell
**Formation energy (no corrections)**: 666 meV/atom

2.
This record from Alexandria describes an optimized crystal structure of MnBe2Ru. The functional is PBEsol.

```
MnBe2Ru
1.0
2.473 0.000 0.026
0.000 3.643 0.000
-0.901 0.000 4.640
Ru Mn Be
1 1 2
direct
0.000 0.500 0.500
0.500 0.500 0.000
0.758 0.000 0.755
0.242 0.000 0.245
```

Summary:
**Crystal system**: monoclinic
**E_tot**: -6.9270 eV/atom
**N(E_F)**: 2.8 states/eV/cell
**E_form**: 56 meV/atom

3.
This record from Alexandria describes an optimized crystal structure of AlCu2TcBi. The functional is PBEsol.

```
AlCu2TcBi
1.0
-0.822 -4.289 0.433
3.477 -0.920 -2.514
3.076 -0.154 4.310
Al Bi Cu Tc
1 1 2 1
direct
0.000 0.000 0.000
0.000 0.000 0.500
0.000 0.500 0.000
0.500 0.000 0.000
0.500 0.500 0.500
```

Summary:
**Crystal system**: tetragonal
**E_tot**: -4.3275 eV/atom
**N(E_F)**: 3.3 states/eV/cell
**E_form**: 1335 meV/atom

4.
This record from Alexandria describes an optimized crystal structure of ZnBr2. The functional is PBEsol.

```
ZnBr2
1.0
-1.815 -3.079 0.475
3.152 -3.146 5.336
-4.985 1.628 5.187
Zn Br
2 4
direct
0.748 0.340 0.164
0.252 0.660 0.836
0.408 0.293 0.891
0.193 0.235 0.379
0.807 0.765 0.621
0.592 0.707 0.109
```

Summary:
**Crystal system**: monoclinic
**E_tot**: -2.5293 eV/atom
**N(E_F)**: 0.0 states/eV/cell
**Formation energy (no corrections)**: -755 meV/atom

5.
This record from Alexandria describes an optimized crystal structure of MnZnPt2. The functional is PBEsol.

```
MnZnPt2
1.0
-0.877 2.100 -2.684
-3.881 -0.450 0.916
0.203 3.188 2.428
Zn Mn Pt
1 1 2
direct
0.500 0.500 0.500
0.500 0.000 0.000
0.000 0.000 0.500
0.000 0.500 0.000
```

Summary:
**Crystal system**: tetragonal
**E_tot**: -6.7238 eV/atom
**N(E_F)**: 1.3 states/eV/cell
**E_form**: -406 meV/atom

6.
This record from Alexandria describes an optimized crystal structure of ScAl2Ir. The functional is PBEsol.

```
ScAl2Ir
1.0
-1.433 -2.156 1.481
3.639 -2.372 0.067
1.727 2.761 3.938
Sc Ir Al
1 1 2
direct
0.000 0.500 0.500
0.500 0.500 0.000
0.629 0.000 0.766
0.371 0.000 0.234
```

Summary:
**Crystal system**: monoclinic
**E_tot**: -6.7473 eV/atom
**N(E_F)**: 2.0 states/eV/cell
**E_form**: -594 meV/atom

7.
This record from Alexandria describes an optimized crystal structure of Li2CdSi. The functional is PBEsol.

```
Li2CdSi
1.0
5.365 0.000 0.000
2.683 5.166 0.000
2.683 0.000 5.166
Si Li Cd
2 4 2
direct
0.250 0.500 0.500
0.500 0.000 0.000
0.142 0.983 0.483
0.608 0.017 0.517
0.375 0.483 0.017
0.875 0.517 0.983
0.750 0.500 0.500
0.000 0.000 0.000
```

Summary:
**Crystal system**: tetragonal
**E_tot**: -2.6011 eV/atom
**N(E_F)**: 2.2 states/eV/cell
**Formation energy (no corrections)**: 118 meV/atom

8.
This record from Alexandria describes an optimized crystal structure of Mg2TeAs. The functional is PBEsol.

```
Mg2TeAs
1.0
3.374 0.000 0.000
0.000 4.175 0.039
-1.687 -0.075 7.256
As Mg Te
1 2 1
direct
0.758 0.124 0.516
0.937 0.126 0.874
0.288 0.624 0.576
0.517 0.626 0.034
```

Summary:
**Crystal system**: monoclinic
**E_tot**: -3.4571 eV/atom
**N(E_F)**: 0.7 states/eV/cell
**Formation energy (no corrections)**: -440 meV/atom

9.
This record from Alexandria describes an optimized crystal structure of CaCd. The functional is PBEsol.

```
CaCd
1.0
3.731 0.000 0.000
0.000 5.344 0.000
-1.866 -2.672 5.457
Ca Cd
2 2
direct
0.103 0.853 0.207
0.897 0.147 0.793
0.648 0.398 0.297
0.352 0.602 0.703
```

Summary:
**Crystal system**: orthorhombic
**E_tot**: -1.9468 eV/atom
**N(E_F)**: 2.7 states/eV/cell
**E_form**: -282 meV/atom

10.
This record from Alexandria describes an optimized crystal structure of ZnBi2S. The functional is PBEsol.

```
ZnBi2S
1.0
-4.969 0.568 -3.101
-0.563 -5.855 -0.170
-1.003 2.829 7.710
S Zn Bi
2 2 4
direct
0.750 0.250 0.500
0.500 0.500 0.000
0.250 0.750 0.500
0.000 0.000 0.000
0.370 0.875 0.250
0.880 0.375 0.250
0.125 0.120 0.750
0.625 0.630 0.750
```

Summary:
**Crystal system**: tetragonal
**E_tot**: -3.3873 eV/atom
**N(E_F)**: 5.3 states/eV/cell
**Formation energy (no corrections)**: 247 meV/atom

11.
This record from Alexandria describes an optimized crystal structure of CuP2SO. The functional is PBEsol.

```
CuP2SO
1.0
4.376 0.000 0.000
0.000 4.376 0.000
0.000 0.000 4.394
P S O Cu
2 1 1 1
direct
0.000 0.500 0.000
0.500 0.000 0.000
0.000 0.000 0.500
0.500 0.500 0.500
0.000 0.000 0.000
```

Summary:
**Crystal system**: tetragonal
**E_tot**: -3.8777 eV/atom
**Distance to the lowest polymorph of the same formula**: 660 meV/atom
**N(E_F)**: 3.9 states/eV/cell
**Formation energy (no corrections)**: 1232 meV/atom

12.
This record from Alexandria describes an optimized crystal structure of Y2CdIn. The functional is PBEsol.

```
Y2CdIn
1.0
-0.969 2.243 -2.838
-1.886 -3.963 -2.488
-3.359 1.697 4.959
Y Cd In
2 1 1
direct
0.994 0.994 0.987
0.762 0.262 0.523
0.519 0.519 0.037
0.226 0.726 0.452
```

Summary:
**Crystal system**: orthorhombic
**E_tot**: -4.8470 eV/atom
**N(E_F)**: 3.9 states/eV/cell
**E_form**: -391 meV/atom

Number 11 is which compound?
CuP2SO

What is the formula in the ninth record?
CaCd

Which value of E_tot does entry 9 give?
-1.9468 eV/atom